1.
LiTc2SeI: relaxed, PBE.

a b c (Å): 4.629 4.014 4.629
angles (deg): 90.00 90.00 90.00
Each line ends with the local moment (μB).
Positions (direct):
Se  0.000  0.500  0.000  -0.02
Li  0.000  0.000  0.000  -0.01
I  0.500  0.500  0.500  -0.01
Tc  0.000  0.000  0.500  0.45
Tc  0.500  0.000  0.000  0.44

Summary:
* formation energy (no corrections): 1192 meV/atom
* symmetry: P4/mmm, No. 123
* crystal system: tetragonal



2.
SrRuO2: relaxed, PBE.

a b c (Å): 6.283 6.283 6.283
angles (deg): 31.89 31.89 31.89
Positions (direct):
Ru  0.500  0.500  0.500
O  0.128  0.128  0.128
O  0.872  0.872  0.872
Sr  0.000  0.000  0.000

Summary:
* formation energy (no corrections): -839 meV/atom
* symmetry: R-3m, No. 166
* crystal system: trigonal
* ΔE to the lowest computed polymorph: 476 meV per atom



3.
K2SrSc: relaxed, PBE.

a b c (Å): 7.846 7.846 3.729
angles (deg): 90.00 90.00 122.82
Each line ends with the local moment (μB).
Positions (direct):
K  0.000  0.000  0.000  0.00
Sr  0.000  0.500  0.500  -0.01
K  0.500  0.500  0.000  0.00
Sc  0.500  0.000  0.500  0.44

Summary:
* symmetry: Cmmm, No. 65
* crystal system: orthorhombic
* ΔE to the lowest computed polymorph: 182 meV per atom
* formation enthalpy at 0 K: 537 meV per atom



4.
ScUH2: relaxed, PBE.

a b c (Å): 3.154 3.154 6.265
angles (deg): 75.42 75.42 60.00
Each line ends with the local moment (μB).
Positions (direct):
U  0.000  0.000  0.000  1.93
Sc  0.500  0.500  0.500  -0.02
H  0.878  0.878  0.366  0.00
H  0.122  0.122  0.634  0.00

Summary:
* symmetry: R-3m, No. 166
* crystal system: trigonal



5.
CdIr3: relaxed, PBE.

a b c (Å): 2.792 3.869 5.863
angles (deg): 90.00 90.00 90.00
Positions (direct):
Ir  0.000  0.000  0.500
Ir  0.500  0.500  0.273
Cd  0.000  0.000  0.000
Ir  0.500  0.500  0.727

Summary:
* symmetry: Pmmm, No. 47
* crystal system: orthorhombic
* formation enthalpy at 0 K: 218 meV per atom



6.
K2TlSbBr6: relaxed, PBE.

a b c (Å): 8.111 8.110 8.444
angles (deg): 61.28 61.26 59.96
Positions (direct):
K  0.020  0.020  0.939
Br  0.669  0.118  0.780
Br  0.565  0.204  0.249
Br  0.118  0.433  0.780
Tl  0.816  0.816  0.552
Br  0.203  0.982  0.249
K  0.531  0.531  0.408
Sb  0.324  0.324  0.028
Br  0.982  0.566  0.249
Br  0.433  0.669  0.780

Summary:
* formation energy (no corrections): -1131 meV/atom
* symmetry: R3, No. 146
* crystal system: trigonal



| no. | density of states at the Fermi level (states/eV/cell) | raw total energy (eV/atom) |
| --- | --- | --- |
| 1 | 6.06 | -4.344 |
| 2 | 4.32 | -6.058 |
| 3 | 5.39 | -2.015 |
| 4 | 3.70 | -6.381 |
| 5 | 4.11 | -6.657 |
| 6 | 0.00 | -3.003 |